1.
A geometry-optimized Tl2Te2Au structure. Source: Alexandria via LeMat-Bulk, functional PBE.

Fermi-level density of states (states/eV/f.u.): 5.51
E_form (uncorrected) (eV per atom): 0.058
SG: P4/mbm (127)
E (eV/f.u.): -14.0

Cell lengths 7.778, 7.778, 5.556 Å; angles 90.00, 90.00, 90.00 degrees
Element x y z (fractional)
Tl  0.317  0.817  0.000
Tl  0.817  0.683  0.000
Tl  0.683  0.183  0.000
Tl  0.183  0.317  0.000
Te  0.125  0.625  0.500
Te  0.625  0.875  0.500
Te  0.875  0.375  0.500
Te  0.375  0.125  0.500
Au  0.000  0.000  0.000
Au  0.500  0.500  0.000

2.
A geometry-optimized Ag3Pt5 structure. Source: Alexandria via LeMat-Bulk, functional PBE.

Fermi-level density of states (states/eV/f.u.): 7.51
E above lowest polymorph (eV/atom): 0.049
SG: Cmmm (65)
E (eV/f.u.): -38.4
Formation energy (meV/atom): 44.3

Cell lengths 5.760, 5.760, 3.938 Å; angles 90.00, 90.00, 91.64 degrees
Element x y z (fractional)
Ag  0.500  0.500  0.000
Ag  0.257  0.257  0.500
Ag  0.743  0.743  0.500
Pt  0.000  0.000  0.000
Pt  0.000  0.500  0.000
Pt  0.500  0.000  0.000
Pt  0.764  0.236  0.500
Pt  0.236  0.764  0.500

3.
A geometry-optimized Sr2VRu structure. Source: Alexandria via LeMat-Bulk, functional PBE.

Fermi-level density of states (states/eV/f.u.): 7.97
E above lowest polymorph (eV/atom): 0.275
SG: Fm-3m (225)
E (eV/f.u.): -18.3
Formation energy (meV/atom): 876.2

Cell lengths 5.296, 5.296, 5.296 Å; angles 60.00, 60.00, 60.00 degrees
Site moments in Bohr magnetons follow the coordinates.
Element x y z (fractional)
Ru  0.500  0.500  0.500  -0.63
Sr  0.250  0.250  0.250  0.08
Sr  0.750  0.750  0.750  0.08
V  0.000  0.000  0.000  2.98

Question: Which of these has the highest E?
Answer: Tl2Te2Au

Repeat the second record exactly.
A geometry-optimized Ag3Pt5 structure. Source: Alexandria via LeMat-Bulk, functional PBE.

Fermi-level density of states (states/eV/f.u.): 7.51
E above lowest polymorph (eV/atom): 0.049
SG: Cmmm (65)
E (eV/f.u.): -38.4
Formation energy (meV/atom): 44.3

Cell lengths 5.760, 5.760, 3.938 Å; angles 90.00, 90.00, 91.64 degrees
Element x y z (fractional)
Ag  0.500  0.500  0.000
Ag  0.257  0.257  0.500
Ag  0.743  0.743  0.500
Pt  0.000  0.000  0.000
Pt  0.000  0.500  0.000
Pt  0.500  0.000  0.000
Pt  0.764  0.236  0.500
Pt  0.236  0.764  0.500